Entry 1:
Computed, not measured: a relaxed Rb4Er3PuS8 crystal at the PBE-GGA level of DFT.

Computed properties:
Calculated total energy   -93.177 eV per cell
Raw formation energy   -1.77 eV per atom
SG   R-3m (166)

Cell and atoms, written as POSCAR:
```
Rb4Er3PuS8
1.0
4.0779 2.3544 7.6662
-4.0779 2.3544 7.6662
0.0000 -4.7088 7.6662
Rb Er Pu S
4 3 1 8
Cartesian
0.0000 0.0000 0.0000
-2.0390 -1.1772 7.6662
-2.0390 1.1772 15.3324
0.0000 2.3544 7.6662
-4.0779 0.0000 11.4993
-2.0390 1.1772 3.8331
2.0390 1.1772 3.8331
0.0000 0.0000 11.4993
-2.0713 -1.1959 12.9595
0.0000 0.0000 5.2944
0.0000 -2.3917 10.0391
-2.0713 1.1959 10.0391
2.0713 -1.1959 12.9594
0.0000 2.3917 12.9594
0.0000 0.0000 17.7042
2.0713 1.1959 10.0391
```

Entry 2:
Computed, not measured: a relaxed NaSn crystal at the PBE-GGA level of DFT.

Computed properties:
Calculated total energy   -43.169 eV per cell
SG   I-43m (217)

Cell and atoms, written as POSCAR:
```
NaSn
1.0
9.4935 0.0000 0.0000
0.0000 9.4935 0.0000
0.0000 0.0000 9.4935
Na Sn
8 8
Cartesian
1.9251 1.9251 1.9251
1.9251 7.5684 7.5684
2.8216 2.8216 6.6718
2.8216 6.6718 2.8216
6.6718 2.8216 2.8216
6.6718 6.6718 6.6718
7.5684 1.9251 7.5684
7.5684 7.5684 1.9251
1.0531 1.0531 8.4404
1.0531 8.4404 1.0531
3.6937 3.6937 3.6937
3.6937 5.7998 5.7998
5.7998 3.6937 5.7998
5.7998 5.7998 3.6937
8.4404 1.0531 1.0531
8.4404 8.4404 8.4404
```

Entry 3:
Computed, not measured: a relaxed TaTiOsPdPb crystal at the PBE-GGA level of DFT.

Computed properties:
Calculated total energy   -40.201 eV per cell
SG   Pm (6)
Offset from the most stable computed form   131 meV/atom

Cell and atoms, written as POSCAR:
```
TaTiOsPdPb
1.0
4.3617 0.0000 0.0000
0.0000 3.1297 0.0000
-2.0257 0.0000 7.1822
Ta Ti Os Pd Pb
1 1 1 1 1
Cartesian
0.0000 0.0000 0.0000
2.1484 0.0000 2.6108
2.1098 1.5648 0.5576
-0.0771 1.5648 2.3367
0.8323 1.5648 4.9544
```

Entry 4:
Computed, not measured: a relaxed Pm2Th3Ru2 crystal at the PBE-GGA level of DFT.

Computed properties:
Calculated total energy   -105.029 eV per cell
SG   C2/m (12)

Cell and atoms, written as POSCAR:
```
Pm2Th3Ru2
1.0
12.4015 0.0000 0.0000
0.0000 3.9089 0.0000
-3.9323 0.0000 8.0113
Pm Th Ru
4 6 4
Cartesian
0.7636 0.0000 2.4807
1.5049 1.9545 5.5306
6.9643 1.9545 2.4807
7.7056 0.0000 5.5306
-1.9662 1.9545 4.0057
-2.2370 1.9545 7.5733
4.5055 0.0000 0.4380
4.2346 0.0000 4.0057
3.9637 0.0000 7.5733
10.7062 1.9545 0.4380
-1.1383 0.0000 5.9429
3.4068 1.9545 2.0684
5.0624 1.9545 5.9429
9.6076 0.0000 2.0684
```

Entry 5:
Computed, not measured: a relaxed TaCdTc2 crystal at the PBE-GGA level of DFT.

Computed properties:
Calculated total energy   -66.063 eV per cell
SG   Cmmm (65)

Cell and atoms, written as POSCAR:
```
TaCdTc2
1.0
3.2121 0.0000 0.0000
0.0000 4.6238 0.0000
0.0000 0.0000 9.1075
Ta Cd Tc
2 2 4
Cartesian
0.0000 0.0000 0.0000
1.6061 2.3119 0.0000
0.0000 0.0000 4.5538
1.6061 2.3119 4.5538
0.0000 2.3119 2.1222
0.0000 2.3119 6.9853
1.6061 0.0000 2.1222
1.6061 0.0000 6.9853
```

Entry 6:
Computed, not measured: a relaxed LiZrBr3 crystal at the PBE-GGA level of DFT.

Computed properties:
Calculated total energy   -19.581 eV per cell
Raw formation energy   -0.82 eV per atom
SG   Pm-3m (221)
Offset from the most stable computed form   0 meV/atom

Cell and atoms, written as POSCAR:
```
LiZrBr3
1.0
5.3911 0.0000 0.0000
0.0000 5.3911 0.0000
0.0000 0.0000 5.3911
Li Zr Br
1 1 3
Cartesian
0.0000 0.0000 0.0000
2.6955 2.6955 2.6955
0.0000 2.6955 2.6955
2.6955 0.0000 2.6955
2.6955 2.6955 0.0000
```